1.
# AlIn2Pb (PBEsol, relaxed)
data_AlIn2Pb
_cell_length_a 3.3409
_cell_length_b 3.3409
_cell_length_c 30.5911
_cell_angle_alpha 90.00
_cell_angle_beta 90.00
_cell_angle_gamma 120.00
_symmetry_space_group_name_H-M 'R -3 m'
_symmetry_Int_Tables_number 166
_symmetry_space_group_name_Hall '-R 3 2"'
loop_
_atom_site_label
_atom_site_type_symbol
_atom_site_fract_x
_atom_site_fract_y
_atom_site_fract_z
Al1 Al 0.0000 0.0000 0.0000
In1 In 0.0000 0.0000 0.2592
Pb1 Pb 0.0000 0.0000 0.5000
# Polymorph energy (0 for the lowest one)   0 meV/atom
# M_tot   0.0001 μB per atom
# DOS(E_F)   0.438 states/eV/atom
# Energy of formation   106 meV/atom

2.
# Al2InPb (PBEsol, relaxed)
data_Al2InPb
_cell_length_a 3.298
_cell_length_b 4.066
_cell_length_c 6.738
_cell_angle_alpha 90.00
_cell_angle_beta 90.00
_cell_angle_gamma 90.00
_symmetry_space_group_name_H-M 'P m m m'
_symmetry_Int_Tables_number 47
_symmetry_space_group_name_Hall '-P 2 2'
loop_
_atom_site_label
_atom_site_type_symbol
_atom_site_fract_x
_atom_site_fract_y
_atom_site_fract_z
Al1 Al 0.000 0.000 0.223
In1 In 0.500 0.500 0.000
Pb1 Pb 0.500 0.500 0.500
# Polymorph energy (0 for the lowest one)   0 meV/atom
# M_tot   0.0001 μB per atom
# DOS(E_F)   0.491 states/eV/atom
# Energy of formation   209 meV/atom

3.
# Al2InPd (PBEsol, relaxed)
data_Al2InPd
_cell_length_a 7.771
_cell_length_b 7.771
_cell_length_c 5.192
_cell_angle_alpha 90.00
_cell_angle_beta 90.00
_cell_angle_gamma 90.00
_symmetry_space_group_name_H-M 'I -4 2 d'
_symmetry_Int_Tables_number 122
_symmetry_space_group_name_Hall 'I -4 2bw'
loop_
_atom_site_label
_atom_site_type_symbol
_atom_site_fract_x
_atom_site_fract_y
_atom_site_fract_z
Al1 Al 0.188 0.250 0.125
In1 In 0.000 0.000 0.500
Pd1 Pd 0.000 0.000 0.000
# M_tot   0.0000 μB per atom
# DOS(E_F)   0.453 states/eV/atom
# Energy of formation   -82 meV/atom

4.
# Pm2AlIn (PBEsol, relaxed)
data_Pm2AlIn
_cell_length_a 7.439
_cell_length_b 7.439
_cell_length_c 7.439
_cell_angle_alpha 90.00
_cell_angle_beta 90.00
_cell_angle_gamma 90.00
_symmetry_space_group_name_H-M 'F m -3 m'
_symmetry_Int_Tables_number 225
_symmetry_space_group_name_Hall '-F 4 2 3'
loop_
_atom_site_label
_atom_site_type_symbol
_atom_site_fract_x
_atom_site_fract_y
_atom_site_fract_z
Pm1 Pm 0.250 0.250 0.250
Al1 Al 0.000 0.000 0.000
In1 In 0.000 0.000 0.500
# M_tot   0.0000 μB per atom
# DOS(E_F)   0.407 states/eV/atom
# Energy of formation   -440 meV/atom

5.
# Al3InPt (PBEsol, relaxed)
data_Al3InPt
_cell_length_a 4.949
_cell_length_b 4.949
_cell_length_c 4.949
_cell_angle_alpha 90.00
_cell_angle_beta 90.00
_cell_angle_gamma 90.00
_symmetry_space_group_name_H-M 'P m -3 m'
_symmetry_Int_Tables_number 221
_symmetry_space_group_name_Hall '-P 4 2 3'
loop_
_atom_site_label
_atom_site_type_symbol
_atom_site_fract_x
_atom_site_fract_y
_atom_site_fract_z
Al1 Al 0.000 0.000 0.500
In1 In 0.000 0.000 0.000
Pt1 Pt 0.500 0.500 0.500
# M_tot   0.0000 μB per atom
# DOS(E_F)   0.500 states/eV/atom
# Energy of formation   1137 meV/atom

6.
# Al2InPt (PBEsol, relaxed)
data_Al2InPt
_cell_length_a 5.354
_cell_length_b 7.690
_cell_length_c 3.311
_cell_angle_alpha 90.00
_cell_angle_beta 90.00
_cell_angle_gamma 90.00
_symmetry_space_group_name_H-M 'C m m m'
_symmetry_Int_Tables_number 65
_symmetry_space_group_name_Hall '-C 2 2'
loop_
_atom_site_label
_atom_site_type_symbol
_atom_site_fract_x
_atom_site_fract_y
_atom_site_fract_z
Al1 Al 0.250 0.250 0.000
In1 In 0.000 0.000 0.500
Pt1 Pt 0.000 0.500 0.500
# M_tot   0.0001 μB per atom
# DOS(E_F)   0.315 states/eV/atom
# Energy of formation   -215 meV/atom

7.
# Al2InPt (PBEsol, relaxed)
data_Al2InPt
_cell_length_a 2.983
_cell_length_b 2.983
_cell_length_c 7.924
_cell_angle_alpha 90.00
_cell_angle_beta 90.00
_cell_angle_gamma 90.00
_symmetry_space_group_name_H-M 'P 4/m m m'
_symmetry_Int_Tables_number 123
_symmetry_space_group_name_Hall '-P 4 2'
loop_
_atom_site_label
_atom_site_type_symbol
_atom_site_fract_x
_atom_site_fract_y
_atom_site_fract_z
Al1 Al 0.000 0.000 0.200
In1 In 0.500 0.500 0.500
Pt1 Pt 0.500 0.500 0.000
# M_tot   0.0000 μB per atom
# DOS(E_F)   0.433 states/eV/atom
# Energy of formation   -370 meV/atom

8.
# RbAl3In (PBEsol, relaxed)
data_RbAl3In
_cell_length_a 5.443
_cell_length_b 5.443
_cell_length_c 5.443
_cell_angle_alpha 90.00
_cell_angle_beta 90.00
_cell_angle_gamma 90.00
_symmetry_space_group_name_H-M 'P m -3 m'
_symmetry_Int_Tables_number 221
_symmetry_space_group_name_Hall '-P 4 2 3'
loop_
_atom_site_label
_atom_site_type_symbol
_atom_site_fract_x
_atom_site_fract_y
_atom_site_fract_z
Rb1 Rb 0.000 0.000 0.000
Al1 Al 0.000 0.500 0.500
In1 In 0.500 0.500 0.500
# M_tot   0.0001 μB per atom
# DOS(E_F)   0.627 states/eV/atom
# Energy of formation   658 meV/atom

9.
# RbAlInSn2 (PBEsol, relaxed)
data_RbAlInSn2
_cell_length_a 5.950
_cell_length_b 5.950
_cell_length_c 5.940
_cell_angle_alpha 90.00
_cell_angle_beta 90.00
_cell_angle_gamma 90.00
_symmetry_space_group_name_H-M 'P 4/m m m'
_symmetry_Int_Tables_number 123
_symmetry_space_group_name_Hall '-P 4 2'
loop_
_atom_site_label
_atom_site_type_symbol
_atom_site_fract_x
_atom_site_fract_y
_atom_site_fract_z
Rb1 Rb 0.000 0.000 0.000
Al1 Al 0.500 0.500 0.500
In1 In 0.000 0.000 0.500
Sn1 Sn 0.000 0.500 0.000
# M_tot   0.0000 μB per atom
# DOS(E_F)   0.738 states/eV/atom
# Energy of formation   1384 meV/atom

10.
# AlIn2Re (PBEsol, relaxed)
data_AlIn2Re
_cell_length_a 2.948
_cell_length_b 2.948
_cell_length_c 8.609
_cell_angle_alpha 90.00
_cell_angle_beta 90.00
_cell_angle_gamma 90.00
_symmetry_space_group_name_H-M 'P 4/m m m'
_symmetry_Int_Tables_number 123
_symmetry_space_group_name_Hall '-P 4 2'
loop_
_atom_site_label
_atom_site_type_symbol
_atom_site_fract_x
_atom_site_fract_y
_atom_site_fract_z
Al1 Al 0.000 0.000 0.000
In1 In 0.500 0.500 0.270
Re1 Re 0.000 0.000 0.500
# M_tot   0.0349 μB per atom
# DOS(E_F)   1.005 states/eV/atom
# Energy of formation   512 meV/atom

11.
# Al2InRe (PBEsol, relaxed)
data_Al2InRe
_cell_length_a 2.861
_cell_length_b 2.861
_cell_length_c 8.319
_cell_angle_alpha 90.00
_cell_angle_beta 90.00
_cell_angle_gamma 90.00
_symmetry_space_group_name_H-M 'P 4 m m'
_symmetry_Int_Tables_number 99
_symmetry_space_group_name_Hall 'P 4 -2'
loop_
_atom_site_label
_atom_site_type_symbol
_atom_site_fract_x
_atom_site_fract_y
_atom_site_fract_z
Al1 Al 0.000 0.000 0.000
Al2 Al 0.500 0.500 0.247
In1 In 0.000 0.000 0.543
Re1 Re 0.500 0.500 0.795
# M_tot   0.0003 μB per atom
# DOS(E_F)   0.881 states/eV/atom
# Energy of formation   263 meV/atom

12.
# Al2InRe (PBEsol, relaxed)
data_Al2InRe
_cell_length_a 6.386
_cell_length_b 6.386
_cell_length_c 6.386
_cell_angle_alpha 90.00
_cell_angle_beta 90.00
_cell_angle_gamma 90.00
_symmetry_space_group_name_H-M 'F -4 3 m'
_symmetry_Int_Tables_number 216
_symmetry_space_group_name_Hall 'F -4 2 3'
loop_
_atom_site_label
_atom_site_type_symbol
_atom_site_fract_x
_atom_site_fract_y
_atom_site_fract_z
Al1 Al 0.000 0.000 0.000
Al2 Al 0.250 0.250 0.250
In1 In 0.250 0.250 0.750
Re1 Re 0.000 0.000 0.500
# M_tot   0.0000 μB per atom
# DOS(E_F)   0.683 states/eV/atom
# Energy of formation   451 meV/atom